First-principles (GGA-PBE) data for SrSiS2Cl after structural relaxation, as listed in Alexandria via LeMat-Bulk.

```
data_SrSiS2Cl
_chemical_formula_sum 'Sr1 Si1 S2 Cl1'
_space_group_name_H-M_alt 'P 1'
_space_group_IT_number 1
_space_group_name_Hall 'P 1'
_cell_length_a 5.579
_cell_length_b 5.579
_cell_length_c 5.354
_cell_angle_alpha 90.00
_cell_angle_beta 90.00
_cell_angle_gamma 90.00
loop_
_atom_site_label
_atom_site_type_symbol
_atom_site_fract_x
_atom_site_fract_y
_atom_site_fract_z
S1 S 0.000 0.500 0.000
S2 S 0.500 0.000 0.000
Si1 Si 0.500 0.500 0.500
Cl1 Cl 0.000 0.000 0.500
Sr1 Sr 0.000 0.000 0.000
```

Properties
ΔE_f (raw) = 0.161 eV/atom
Distance to the lowest polymorph of the same formula = 1203 meV per atom
DOS(E_F) = 0.881 states/eV per atom
Space group = P4/mmm